No. 1
Here is a relaxed SrPCl2 crystal from Alexandria via LeMat-Bulk. Energies are from PBE.

abc: 6.491 6.491 6.491
angles: 143.52 143.52 52.54
Fractional coordinates of all 4 atoms:
Cl  0.000  0.000  0.000
Cl  0.250  0.750  0.500
P  0.500  0.500  0.000
Sr  0.750  0.250  0.500

Output
* ΔE to the lowest computed polymorph: 0.200 eV/atom
* final energy: -14.3 eV per cell
* raw formation energy: -0.8722 eV/atom

=====

No. 2
Here is a relaxed Ca3Si2SnAu9 crystal from Alexandria via LeMat-Bulk. Energies are from PBE.

abc: 7.690 7.690 7.002
angles: 90.00 90.00 120.00
Fractional coordinates of all 15 atoms:
Ca  0.333  0.667  0.667
Ca  0.000  0.000  0.000
Ca  0.667  0.333  0.333
Si  0.333  0.667  0.139
Si  0.667  0.333  0.861
Sn  0.000  0.000  0.500
Au  0.821  0.179  0.675
Au  0.821  0.642  0.675
Au  0.358  0.179  0.675
Au  0.642  0.821  0.325
Au  0.179  0.358  0.325
Au  0.179  0.821  0.325
Au  0.500  0.000  0.000
Au  0.000  0.500  0.000
Au  0.500  0.500  0.000

Output
* final energy: -55.4 eV per cell
* raw formation energy: -0.3358 eV/atom

=====

No. 3
Here is a relaxed La2Tl3Zn crystal from Alexandria via LeMat-Bulk. Energies are from PBE.

abc: 3.895 4.965 8.781
angles: 90.00 90.00 90.00
Fractional coordinates of all 6 atoms:
La  0.000  0.500  0.006
La  0.000  0.000  0.497
Tl  0.500  0.000  0.838
Tl  0.500  0.000  0.184
Tl  0.500  0.500  0.647
Zn  0.500  0.500  0.329

Output
* energy of formation: -315 meV per atom
* final energy: -20.1 eV per cell

=====

No. 4
Here is a relaxed BaLaSN2 crystal from Alexandria via LeMat-Bulk. Energies are from PBE.

abc: 4.452 4.452 5.870
angles: 90.00 90.00 90.00
Each line ends with the local moment (μB).
Fractional coordinates of all 5 atoms:
S  0.000  0.000  0.500  0.02
N  0.000  0.500  0.000  0.12
N  0.500  0.000  0.000  0.12
Ba  0.500  0.500  0.500  0.00
La  0.000  0.000  0.000  -0.01

Output
* ΔE to the lowest computed polymorph: 0.000 eV/atom
* final energy: -29.4 eV per cell
* raw formation energy: -0.3582 eV/atom

=====

No. 5
Here is a relaxed DyHoSnPb crystal from Alexandria via LeMat-Bulk. Energies are from PBE.

abc: 5.395 5.395 5.395
angles: 60.00 60.00 60.00
Fractional coordinates of all 4 atoms:
Pb  0.750  0.750  0.750
Ho  0.000  0.000  0.000
Sn  0.250  0.250  0.250
Dy  0.500  0.500  0.500

Output
* energy of formation: -454 meV per atom
* final energy: -18.7 eV per cell

=====

No. 6
Here is a relaxed TaTi2AlAs crystal from Alexandria via LeMat-Bulk. Energies are from PBE.

abc: 4.871 4.865 4.871
angles: 90.00 90.00 90.00
Fractional coordinates of all 5 atoms:
As  0.000  0.500  0.000
Ti  0.000  0.000  0.500
Ti  0.500  0.000  0.000
Al  0.500  0.500  0.500
Ta  0.000  0.000  0.000

Output
* ΔE to the lowest computed polymorph: 0.511 eV/atom
* energy of formation: 854 meV per atom
* final energy: -31.8 eV per cell

=====

No. 7
Here is a relaxed NaHo2Cu crystal from Alexandria via LeMat-Bulk. Energies are from PBE.

abc: 3.511 3.511 11.177
angles: 80.96 80.96 60.00
Fractional coordinates of all 4 atoms:
Na  0.000  0.000  0.000
Ho  0.107  0.107  0.680
Ho  0.893  0.893  0.320
Cu  0.500  0.500  0.500

Output
* ΔE to the lowest computed polymorph: 0.174 eV/atom
* energy of formation: 190 meV per atom
* final energy: -13.8 eV per cell

=====

No. 8
Here is a relaxed KZn2Co crystal from Alexandria via LeMat-Bulk. Energies are from PBE.

abc: 5.128 5.128 5.128
angles: 128.90 128.90 75.17
Each line ends with the local moment (μB).
Fractional coordinates of all 4 atoms:
Co  0.500  0.500  0.000  1.69
K  0.750  0.250  0.500  -0.01
Zn  0.000  0.000  0.000  -0.01
Zn  0.250  0.750  0.500  -0.02

Output
* ΔE to the lowest computed polymorph: 0.495 eV/atom
* energy of formation: 774 meV per atom
* final energy: -7.7 eV per cell

=====

No. 9
Here is a relaxed HoTm2Rh2 crystal from Alexandria via LeMat-Bulk. Energies are from PBE.

abc: 3.896 7.199 8.565
angles: 90.00 103.15 90.00
Fractional coordinates of all 10 atoms:
Ho  0.623  0.914  0.245
Ho  0.377  0.414  0.755
Tm  0.031  0.246  0.061
Tm  0.188  0.529  0.376
Tm  0.812  0.029  0.624
Tm  0.969  0.746  0.939
Rh  0.554  0.545  0.107
Rh  0.196  0.130  0.392
Rh  0.804  0.630  0.608
Rh  0.446  0.045  0.893

Output
* ΔE to the lowest computed polymorph: 0.103 eV/atom
* energy of formation: -673 meV per atom
* final energy: -63.2 eV per cell

=====

No. 10
Here is a relaxed LiPaAl2Zn4 crystal from Alexandria via LeMat-Bulk. Energies are from PBE.

abc: 4.367 4.367 8.575
angles: 75.25 75.25 60.00
Fractional coordinates of all 8 atoms:
Li  0.500  0.500  0.500
Pa  0.000  0.000  0.000
Al  0.754  0.754  0.738
Al  0.246  0.246  0.262
Zn  0.395  0.395  0.815
Zn  0.867  0.867  0.399
Zn  0.133  0.133  0.601
Zn  0.605  0.605  0.185

Output
* energy of formation: -155 meV per atom
* final energy: -25.2 eV per cell

=====

No. 11
Here is a relaxed BaPSe2 crystal from Alexandria via LeMat-Bulk. Energies are from PBE.

abc: 4.459 4.932 6.348
angles: 66.82 90.00 90.00
Fractional coordinates of all 4 atoms:
Ba  0.000  0.408  0.527
P  0.500  0.172  0.241
Se  0.000  0.073  0.111
Se  0.500  0.847  0.621

Output
* ΔE to the lowest computed polymorph: 0.000 eV/atom
* final energy: -17.9 eV per cell
* raw formation energy: -0.9092 eV/atom

=====

No. 12
Here is a relaxed In3Sn2Hg4 crystal from Alexandria via LeMat-Bulk. Energies are from PBE.

abc: 5.553 7.350 8.379
angles: 71.45 66.12 109.64
Fractional coordinates of all 9 atoms:
In  0.984  0.745  0.717
In  0.000  0.000  0.000
In  0.016  0.255  0.283
Sn  0.234  0.741  0.296
Sn  0.766  0.259  0.704
Hg  0.631  0.270  0.096
Hg  0.396  0.278  0.500
Hg  0.604  0.722  0.500
Hg  0.369  0.730  0.904

Output
* ΔE to the lowest computed polymorph: 0.016 eV/atom
* energy of formation: 51 meV per atom
* final energy: -17.0 eV per cell

=====

No. 13
Here is a relaxed Li2CdCoC crystal from Alexandria via LeMat-Bulk. Energies are from PBE.

abc: 4.146 4.146 3.639
angles: 90.00 90.00 90.00
Fractional coordinates of all 5 atoms:
C  0.000  0.000  0.000
Li  0.000  0.500  0.000
Li  0.500  0.000  0.000
Co  0.000  0.000  0.500
Cd  0.500  0.500  0.500

Output
* energy of formation: 96 meV per atom
* final energy: -20.6 eV per cell

=====

No. 14
Here is a relaxed BaPuAs2 crystal from Alexandria via LeMat-Bulk. Energies are from PBE.

abc: 3.931 3.931 6.887
angles: 90.00 90.00 90.00
Each line ends with the local moment (μB).
Fractional coordinates of all 4 atoms:
As  0.000  0.000  0.804  0.07
As  0.000  0.000  0.196  0.07
Ba  0.500  0.500  0.500  -0.09
Pu  0.500  0.500  0.000  -5.29

Output
* ΔE to the lowest computed polymorph: 0.156 eV/atom
* energy of formation: -814 meV per atom
* final energy: -28.8 eV per cell

=====

No. 15
Here is a relaxed AlCrTcPt crystal from Alexandria via LeMat-Bulk. Energies are from PBE.

abc: 4.300 4.300 4.300
angles: 60.00 60.00 60.00
Each line ends with the local moment (μB).
Fractional coordinates of all 4 atoms:
Cr  0.000  0.000  0.000  2.31
Tc  0.250  0.250  0.250  -0.52
Pt  0.750  0.750  0.750  0.18
Al  0.500  0.500  0.500  -0.01

Output
* energy of formation: -451 meV per atom
* final energy: -31.6 eV per cell

=====

No. 16
Here is a relaxed CsSO2F crystal from Alexandria via LeMat-Bulk. Energies are from PBE.

abc: 4.492 4.492 5.340
angles: 90.00 90.00 90.00
Each line ends with the local moment (μB).
Fractional coordinates of all 5 atoms:
Cs  0.000  0.000  0.000  0.15
S  0.500  0.500  0.500  1.49
O  0.000  0.500  0.000  0.48
O  0.500  0.000  0.000  0.48
F  0.000  0.000  0.500  0.28

Output
* final energy: -13.1 eV per cell
* raw formation energy: 0.7329 eV/atom

=====

No. 17
Here is a relaxed LiLa2MgOs crystal from Alexandria via LeMat-Bulk. Energies are from PBE.

abc: 5.509 5.509 5.311
angles: 90.00 90.00 90.00
Fractional coordinates of all 5 atoms:
Mg  0.000  0.000  0.500
Li  0.500  0.500  0.500
Os  0.000  0.000  0.000
La  0.000  0.500  0.000
La  0.500  0.000  0.000

Output
* ΔE to the lowest computed polymorph: 0.000 eV/atom
* energy of formation: 10 meV per atom
* final energy: -24.5 eV per cell

=====

No. 18
Here is a relaxed BeTe2Se crystal from Alexandria via LeMat-Bulk. Energies are from PBE.

abc: 6.770 6.770 6.692
angles: 59.62 59.62 90.00
Fractional coordinates of all 8 atoms:
Be  0.500  0.500  0.000
Be  0.250  0.750  0.500
Te  0.565  0.125  0.250
Te  0.185  0.625  0.250
Te  0.375  0.435  0.750
Te  0.875  0.815  0.750
Se  0.000  0.000  0.000
Se  0.750  0.250  0.500

Output
* ΔE to the lowest computed polymorph: 0.146 eV/atom
* final energy: -25.8 eV per cell
* raw formation energy: 0.1440 eV/atom

=====

No. 19
Here is a relaxed SnAs2H crystal from Alexandria via LeMat-Bulk. Energies are from PBE.

abc: 4.265 4.265 6.698
angles: 71.43 71.43 60.00
Fractional coordinates of all 4 atoms:
H  0.000  0.000  0.000
As  0.095  0.095  0.714
As  0.905  0.905  0.286
Sn  0.500  0.500  0.500

Output
* ΔE to the lowest computed polymorph: 0.275 eV/atom
* final energy: -15.4 eV per cell

=====

No. 20
Here is a relaxed KInAu2 crystal from Alexandria via LeMat-Bulk. Energies are from PBE.

abc: 5.046 4.329 5.414
angles: 89.80 90.00 90.00
Fractional coordinates of all 4 atoms:
Au  0.000  0.249  0.969
Au  0.500  0.249  0.266
In  0.000  0.252  0.470
K  0.500  0.750  0.795

Output
* energy of formation: -204 meV per atom
* final energy: -11.2 eV per cell

=====

No. 21
Here is a relaxed LaHo2Al6 crystal from Alexandria via LeMat-Bulk. Energies are from PBE.

abc: 3.562 7.979 7.979
angles: 120.00 90.00 90.00
Fractional coordinates of all 9 atoms:
La  0.000  0.000  0.000
Ho  0.000  0.333  0.667
Ho  0.000  0.667  0.333
Al  0.500  0.337  0.337
Al  0.500  0.663  0.663
Al  0.500  0.000  0.663
Al  0.500  0.663  0.000
Al  0.500  0.337  0.000
Al  0.500  0.000  0.337

Output
* energy of formation: -458 meV per atom
* final energy: -40.7 eV per cell

=====

No. 22
Here is a relaxed OsS2Cl8 crystal from Alexandria via LeMat-Bulk. Energies are from PBE.

abc: 6.864 7.426 8.555
angles: 60.36 67.68 76.92
Each line ends with the local moment (μB).
Fractional coordinates of all 11 atoms:
Os  0.000  0.000  0.000  1.23
S  0.289  0.609  0.846  0.02
S  0.711  0.391  0.154  0.02
Cl  0.095  0.969  0.243  0.16
Cl  0.088  0.354  0.819  0.02
Cl  0.905  0.031  0.757  0.16
Cl  0.439  0.381  0.358  0.01
Cl  0.912  0.646  0.181  0.02
Cl  0.338  0.884  0.870  0.03
Cl  0.662  0.116  0.130  0.03
Cl  0.561  0.619  0.642  0.01

Output
* final energy: -36.1 eV per cell
* raw formation energy: -0.1706 eV/atom

=====

No. 23
Here is a relaxed Tc2OsW crystal from Alexandria via LeMat-Bulk. Energies are from PBE.

abc: 4.792 4.792 4.792
angles: 131.86 131.86 70.46
Fractional coordinates of all 4 atoms:
Os  0.750  0.250  0.500
Tc  0.000  0.000  0.000
Tc  0.250  0.750  0.500
W  0.500  0.500  0.000

Output
* ΔE to the lowest computed polymorph: 0.016 eV/atom
* energy of formation: 76 meV per atom
* final energy: -44.6 eV per cell